Below is a relaxed W2AuSe crystal, with properties calculated at the GGA-PBE level.

The structure in POSCAR format:
```
W2AuSe
1.0
4.764 -1.485 0.000
4.764 1.485 0.000
-1.139 0.000 4.795
W Au Se
2 1 1
Direct
0.000 0.000 0.000
0.242 0.242 0.709
0.748 0.748 0.205
0.506 0.506 0.571
```

spin magnetization: 0.000 μB per formula unit
volume: 67.85 Å³/f.u.
formation energy (no corrections): 595.1 meV per atom

Below is a relaxed CdTeRh2 crystal, with properties calculated at the GGA-PBE level.

The structure in POSCAR format:
```
CdTeRh2
1.0
3.349 0.000 0.000
0.000 3.349 0.000
0.000 0.000 6.327
Cd Te Rh
1 1 2
Direct
0.000 0.000 0.000
0.000 0.000 0.500
0.500 0.500 0.263
0.500 0.500 0.737
```

spin magnetization: 0.000 μB per formula unit
volume: 70.98 Å³/f.u.
formation energy (no corrections): -95.2 meV per atom

Below is a relaxed RbPrHo4S8 crystal, with properties calculated at the GGA-PBE level.

The structure in POSCAR format:
```
RbPrHo4S8
1.0
4.112 2.374 6.922
-4.112 2.374 6.922
0.000 -4.748 6.922
Rb Pr Ho S
1 1 4 8
Direct
0.000 0.000 0.000
0.364 0.364 0.364
0.365 0.365 0.882
0.365 0.882 0.365
0.744 0.744 0.744
0.882 0.365 0.365
0.130 0.130 0.566
0.130 0.566 0.130
0.137 0.617 0.617
0.140 0.140 0.140
0.566 0.130 0.130
0.613 0.613 0.613
0.617 0.137 0.617
0.617 0.617 0.137
```

spin magnetization: 0.000 μB per formula unit
volume: 405.50 Å³/f.u.
formation energy (no corrections): -1888.7 meV per atom

no.,density of states at the Fermi level (states/eV/atom)
1,0.87
2,0.58
3,0.00